5
Lattice="-1.765 -4.825 -0.477 -0.248 -0.302 3.970 -4.838 1.786 -0.166" Properties=species:S:1:pos:R:3 comment="Mg2FeOsF, relaxed, DFT PBE with a Hubbard U" spacegroup="No. 123" crystal_system=tetragonal m_tot_mub_per_fu=4.1 energy_ev_per_cell=-19.36 vol_a3_per_atom=21.2 pbc="T T T"
Mg -2.419 0.893 -0.083
Mg -0.883 -2.412 -0.239
Os 0.000 0.000 0.000
Fe -3.425 -1.670 1.663
F -0.124 -0.151 1.985